Pm2SmTh | Alexandria | PBE-GGA | relaxed; calculated volume = 135.17 Å³ per cell; energy above the lowest structure with this stoichiometry = 0.05 eV/f.u.
1.0
3.620 0.000 0.000
0.000 3.620 0.000
0.000 0.000 10.313
Pm Sm Th
2 1 1
Cartesian
0.000 0.000 2.477
0.000 0.000 7.836
1.810 1.810 5.156
1.810 1.810 0.000

---

Ag3SnAu3 | Alexandria | PBE-GGA | relaxed; calculated volume = 283.06 Å³ per cell; energy above the lowest structure with this stoichiometry = 0.18 eV/f.u.
1.0
4.392 -4.382 0.000
4.392 4.382 0.000
-0.003 0.000 7.355
Ag Sn Au
6 2 6
Cartesian
4.392 2.347 0.000
4.390 2.279 3.678
2.161 0.000 3.670
6.619 0.000 3.685
4.390 -2.279 3.678
4.392 -2.347 0.000
2.023 0.000 0.007
6.757 0.000 7.348
2.194 2.184 5.465
2.194 -2.184 5.465
4.394 0.000 1.728
4.387 0.000 5.628
6.586 2.184 1.891
6.586 -2.184 1.891

---

La2Nd4Al | Alexandria | PBE-GGA | relaxed; calculated volume = 238.72 Å³ per cell; energy above the lowest structure with this stoichiometry = 0.00 eV/f.u.
1.0
1.856 1.071 20.014
-1.856 1.071 20.014
0.000 -2.143 20.014
La Nd Al
2 4 1
Cartesian
0.000 0.000 11.589
0.000 0.000 48.452
0.000 0.000 5.389
0.000 0.000 17.718
0.000 0.000 42.323
0.000 0.000 54.652
0.000 0.000 0.000

---

Tb6Ho5Th | Alexandria | PBE-GGA | relaxed; calculated volume = 382.40 Å³ per cell
1.0
-2.910 3.675 8.940
2.910 -3.675 8.940
2.910 3.675 -8.940
Tb Ho Th
6 5 1
Cartesian
2.910 1.823 -3.202
0.000 1.813 0.000
2.910 1.823 3.202
0.000 1.852 5.737
0.000 5.537 0.000
0.000 1.852 12.142
0.000 0.000 2.774
2.910 0.000 6.169
0.000 0.000 8.940
0.000 3.675 2.770
0.000 0.000 15.106
2.910 0.000 0.000

---

| no. | energy of formation from the pure elements (meV/atom) |
| --- | --- |
| 1 | 35 |
| 2 | 12 |
| 3 | -6 |
| 4 | 125 |